# CuPd5Au12

CuPd5Au12 after structural relaxation (PBE, Alexandria via LeMat-Bulk).

a b c (Å): 14.967 8.782 4.929
angles (deg): 90.00 108.56 90.00
Space group C2/m (No. 12)
One atom of each set of equivalent atoms:
1 Cu 0.000 0.000 0.000
2 Pd 0.000 0.500 0.500
3 Pd 0.164 0.000 0.493
4 Pd 0.167 0.500 0.001
5 Au 0.000 0.162 0.500
6 Au 0.000 0.334 0.000
7 Au 0.165 0.163 0.998
8 Au 0.167 0.335 0.501

Values from the calculation:
magnetization = 0.00 Bohr magnetons per cell
DOS at the Fermi energy = 0.491 states/eV per atom
formation enthalpy at 0 K = -61 meV per atom
V = 17.1 Å³/atom